DFT (PBE-GGA) results for a geometry-optimized NaReTe2 structure.

uncorrected formation energy	273	meV/atom
electronic total energy	-4.7391	eV/atom
symmetry	Fm-3m (225)

a = 4.861 Å, b = 4.861 Å, c = 4.861 Å
α = 60.00°, β = 60.00°, γ = 60.00°
Element x y z (fractional)
Re  0.500  0.500  0.500
Te  0.250  0.250  0.250
Te  0.750  0.750  0.750
Na  0.000  0.000  0.000